A geometry-optimized BeCdTe2 structure, computed with PBE.

E_form (uncorrected) = -0.388 eV per atom
Uncorrected energy = -3.119 eV per atom
Calculated volume = 114 Å³/f.u.
Fermi-level density of states = 0.000 states/eV per cell
ρ = 5.5 g cm⁻³
Space-group type = No. 33

Cell: 7.400 8.693 7.106 Å, 90.00 90.00 90.00°
Fractional positions:
Be 0.073 0.126 0.000
Be 0.427 0.626 0.500
Be 0.573 0.374 0.000
Be 0.927 0.874 0.500
Cd 0.088 0.623 0.997
Cd 0.412 0.123 0.497
Cd 0.588 0.877 0.997
Cd 0.912 0.377 0.497
Te 0.058 0.101 0.653
Te 0.108 0.649 0.598
Te 0.392 0.149 0.098
Te 0.442 0.601 0.153
Te 0.558 0.399 0.653
Te 0.608 0.851 0.598
Te 0.892 0.351 0.098
Te 0.942 0.899 0.153